<w>
Below is an optimized crystal structure of LiCr3Cl, with properties calculated at the PBE-GGA level.

a = 4.1417 Å, b = 4.1417 Å, c = 4.1417 Å
α = 90.00°, β = 90.00°, γ = 90.00°
Positions (direct):
Cr  0.0000  0.5000  0.0000
Cr  0.5000  0.0000  0.0000
Cl  0.0000  0.0000  0.0000
Cr  0.0000  0.0000  0.5000
Li  0.5000  0.5000  0.5000

The density of states at the Fermi level comes out at 2.5 states/eV/f.u. The value obtained for the total moment is 0.00 μB per atom.

<x>
Below is an optimized crystal structure of LiCr3Cl, with properties calculated at the PBE-GGA level.

a = 4.7624 Å, b = 4.7624 Å, c = 4.7624 Å
α = 90.00°, β = 90.00°, γ = 90.00°
Positions (direct):
Cr  0.0000  0.5000  0.0000
Cr  0.0000  0.0000  0.5000
Cr  0.5000  0.0000  0.0000
Cl  0.5000  0.5000  0.5000
Li  0.0000  0.0000  0.0000

The density of states at the Fermi level comes out at 3.9 states/eV/f.u. The value obtained for the total moment is 2.78 μB per atom.

Most stable: <w> (next structure +38.3 kJ/mol of atoms)

<w>
Below is an optimized crystal structure of MgCrCl2, with properties calculated at the PBE-GGA level.

a = 5.4627 Å, b = 5.4627 Å, c = 3.6616 Å
α = 67.33°, β = 67.33°, γ = 97.41°
Positions (direct):
Cr  0.5000  0.0000  0.5000
Cl  0.5000  0.5000  0.0000
Cl  0.0000  0.0000  0.0000
Mg  0.0000  0.5000  0.5000

The density of states at the Fermi level comes out at 1.9 states/eV/f.u. The value obtained for the total moment is 1.08 μB per atom.

<x>
Below is an optimized crystal structure of MgCrCl2, with properties calculated at the PBE-GGA level.

a = 3.9479 Å, b = 3.5404 Å, c = 6.7837 Å
α = 105.16°, β = 90.00°, γ = 90.00°
Positions (direct):
Mg  0.5000  0.7500  0.7500
Cl  0.0000  0.5937  0.4711
Cl  0.0000  0.9063  0.0289
Cr  0.5000  0.2500  0.2500

The density of states at the Fermi level comes out at 1.7 states/eV/f.u. The value obtained for the total moment is 1.05 μB per atom.

Most stable: <x> (next structure +2.4 kJ/mol of atoms)

<w>
Below is an optimized crystal structure of MgCrCl2, with properties calculated at the PBE-GGA level.

a = 3.2373 Å, b = 3.2373 Å, c = 8.5697 Å
α = 90.00°, β = 90.00°, γ = 90.00°
Positions (direct):
Mg  0.5000  0.5000  0.7589
Cr  0.0000  0.0000  0.4919
Cl  0.5000  0.5000  0.3339
Cl  0.0000  0.0000  0.9153

The density of states at the Fermi level comes out at 3.6 states/eV/f.u. The value obtained for the total moment is 1.07 μB per atom.

<x>
Below is an optimized crystal structure of MgCrCl2, with properties calculated at the PBE-GGA level.

a = 3.6558 Å, b = 3.6558 Å, c = 6.1470 Å
α = 90.00°, β = 90.00°, γ = 90.00°
Positions (direct):
Cl  0.5000  0.5000  0.2549
Mg  0.5000  0.5000  0.8295
Cl  0.0000  0.0000  0.9096
Cr  0.0000  0.0000  0.5060

The density of states at the Fermi level comes out at 0.9 states/eV/f.u. The value obtained for the total moment is 1.03 μB per atom.

<y>
Below is an optimized crystal structure of MgCrCl2, with properties calculated at the PBE-GGA level.

a = 4.9462 Å, b = 4.9462 Å, c = 8.5349 Å
α = 73.16°, β = 73.16°, γ = 90.00°
Positions (direct):
Cl  0.3750  0.3678  0.7500
Cr  0.7500  0.2500  0.5000
Cl  0.8750  0.8822  0.7500
Mg  0.2500  0.7500  0.5000
Cl  0.1178  0.6250  0.2500
Cl  0.6322  0.1250  0.2500
Mg  0.5000  0.5000  0.0000
Cr  0.0000  0.0000  0.0000

The density of states at the Fermi level comes out at 1.9 states/eV/f.u. The value obtained for the total moment is 1.20 μB per atom.

Most stable: <w> (next structure +13.7 kJ/mol of atoms)